Entry P
This record from Alexandria via LeMat-Bulk describes a relaxed Pm2CF crystal. The functional is PBE-GGA.

Geometry as extended XYZ:
```
4
Lattice="3.674 0.000 0.000 1.837 3.182 0.000 1.837 1.061 6.194" Properties=species:S:1:pos:R:3 pbc="T T T"
C 0.000 0.000 0.000
F 3.674 2.121 3.097
Pm 1.837 1.061 1.372
Pm 5.511 3.182 4.822
```

Computed properties:
Total magnetization in μB/f.u.: 0.0
Space group: R-3m (166)
V in Å³ per cell: 72.4



Entry Q
This record from Alexandria via LeMat-Bulk describes a relaxed Pm2CF crystal. The functional is PBE-GGA.

Geometry as extended XYZ:
```
4
Lattice="-0.002 -1.680 -3.203 -0.562 -3.569 -0.170 -6.603 -0.713 -1.663" Properties=species:S:1:pos:R:3 pbc="T T T"
Pm -5.220 -0.937 -1.547
Pm -1.536 -1.532 -1.238
C -6.954 -4.216 -3.910
F -3.643 -2.971 -2.523
```

Computed properties:
Total magnetization in μB/f.u.: 0.0
Space group: R3m (160)
V in Å³ per cell: 73.9



Going by the energies, entry P is most stable and the next is 61 meV per atom up.



Entry P
This record from Alexandria via LeMat-Bulk describes a relaxed Pr2CF crystal. The functional is PBE-GGA.

Geometry as extended XYZ:
```
4
Lattice="3.677 0.000 0.000 1.839 3.184 0.000 1.839 1.061 6.653" Properties=species:S:1:pos:R:3 pbc="T T T"
Pr 1.839 1.061 5.209
Pr 1.839 1.061 1.407
C 5.516 3.184 6.633
F 3.677 2.123 3.384
```

Computed properties:
Total magnetization in μB/f.u.: 0.0
Space group: R3m (160)
V in Å³ per cell: 77.9



Entry Q
This record from Alexandria via LeMat-Bulk describes a relaxed Pr2CF crystal. The functional is PBE-GGA.

Geometry as extended XYZ:
```
4
Lattice="-1.012 3.522 0.727 -1.542 2.092 -2.684 -6.604 -0.140 1.084" Properties=species:S:1:pos:R:3 pbc="T T T"
Pr -2.132 1.424 -0.266
Pr -7.027 4.051 -0.607
C 0.000 0.000 0.000
F -4.579 2.737 -0.437
```

Computed properties:
Total magnetization in μB/f.u.: 0.0
Space group: R-3m (166)
V in Å³ per cell: 76.6



Going by the energies, entry Q is most stable and the next is 55 meV per atom up.



Entry P
This record from Alexandria via LeMat-Bulk describes a relaxed PtCF2 crystal. The functional is PBE-GGA.

Geometry as extended XYZ:
```
4
Lattice="0.278 -4.304 9.167 -0.209 -6.435 7.822 2.210 -5.633 8.125" Properties=species:S:1:pos:R:3 pbc="T T T"
C 0.000 0.000 0.000
Pt 1.139 -8.186 12.557
F 2.175 -15.626 23.970
F 0.104 -0.746 1.144
```

Computed properties:
Total magnetization in μB/f.u.: 0.0
Space group: R-3m (166)
V in Å³ per cell: 57.2



Entry Q
This record from Alexandria via LeMat-Bulk describes a relaxed PtCF2 crystal. The functional is PBE-GGA.

Geometry as extended XYZ:
```
8
Lattice="-5.305 -1.653 -0.286 -0.169 -0.417 5.546 -3.919 2.716 2.876" Properties=species:S:1:pos:R:3 pbc="T T T"
C -2.737 -1.035 2.630
C -3.413 0.632 5.526
Pt 0.000 0.000 0.000
Pt -5.981 0.014 2.610
F -2.989 0.008 1.305
F -3.077 -0.202 4.078
F -5.035 1.157 5.518
F -7.687 0.330 5.371
```

Computed properties:
Total magnetization in μB/f.u.: 0.1
Space group: Fd-3m (227)
V in Å³ per cell: 122.0



Going by the energies, entry P is most stable and the next is 829 meV per atom up.